# GGA+U FeMoO2, optimized geometry
# Relative energy among the computed polymorphs: 0 meV per atom
# M_tot: 2.000 μB/atom
# Total DFT energy (no corrections): -103.1 eV/cell
data_FeMoO2
_chemical_formula_sum 'Fe4 Mo4 O8'
_cell_length_a 5.5672
_cell_length_b 5.5672
_cell_length_c 7.2785
_cell_angle_alpha 90.00
_cell_angle_beta 90.00
_cell_angle_gamma 90.00
_symmetry_space_group_name_H-M 'I -4 2 d'
_symmetry_Int_Tables_number 122
_symmetry_space_group_name_Hall 'I -4 2bw'
loop_
_atom_site_label
_atom_site_type_symbol
_atom_site_fract_x
_atom_site_fract_y
_atom_site_fract_z
Fe1 Fe 0.0000 0.0000 0.0000
Mo1 Mo 0.0000 0.0000 0.5000
O1 O 0.2219 0.2500 0.1250